A plane-wave DFT calculation with PBE was carried out for a relaxed structure of TlN2F.

Cell and atoms, written as CIF:
```
data_TlN2F
_chemical_formula_sum 'Tl3 N6 F3'
_cell_length_a 3.6962
_cell_length_b 3.6962
_cell_length_c 16.6047
_cell_angle_alpha 90.00
_cell_angle_beta 90.00
_cell_angle_gamma 120.00
_symmetry_space_group_name_H-M 'R -3 m'
_symmetry_Int_Tables_number 166
_symmetry_space_group_name_Hall '-R 3 2"'
loop_
_atom_site_label
_atom_site_type_symbol
_atom_site_fract_x
_atom_site_fract_y
_atom_site_fract_z
Tl1 Tl 0.0000 0.0000 0.0000
N1 N 0.0000 0.0000 0.3926
F1 F 0.0000 0.0000 0.5000
```

Energy relative to the elements, uncorrected ... 1.41 eV per atom
Mass density ... 6.4 g cm⁻³
Size of the total moment ... 1.9 μB/f.u.
Final energy ... -3.810 eV per atom